# 1
CdPb2Se PBE optimized geometry; E_tot = -3.0349 eV/atom; distance to the lowest polymorph of the same formula = 79 meV/atom; D(E_F) = 1.482 states/eV/f.u.; space-group type = P4/mmm, No. 123
1.0
3.919 0.000 0.000
0.000 3.920 0.000
0.000 0.000 7.215
Cd Pb Se
1 2 1
Cartesian
1.959 1.960 5.411 Cd
0.000 0.000 0.129 Pb
0.000 0.000 3.478 Pb
1.959 1.960 1.804 Se

# 2
CsK2PbF PBE optimized geometry; E_tot = -2.7600 eV/atom; D(E_F) = 3.101 states/eV/f.u.; space-group type = P4/mmm, No. 123
1.0
-4.321 -2.634 2.411
-0.205 -3.595 -4.296
3.818 -3.641 2.864
Pb Cs K F
1 1 2 1
Cartesian
-0.354 -4.935 0.490 Pb
1.909 -1.820 1.432 Cs
-0.103 -1.798 -2.148 K
-2.160 -1.317 1.206 K
0.000 0.000 0.000 F

# 3
HoMg3Ni2 PBE optimized geometry; E_tot = -3.6729 eV/atom; energy of formation = -0.1856 eV per atom; D(E_F) = 3.493 states/eV/f.u.; space-group type = C2/m, No. 12
1.0
-0.258 -2.911 -2.539
7.041 -1.128 -2.373
2.610 -7.030 4.844
Ho Mg Ni
2 6 4
Cartesian
5.693 -8.257 0.035 Ho
3.700 -2.813 -0.103 Ho
8.556 -6.844 1.075 Mg
0.837 -4.226 -1.143 Mg
3.902 -8.130 3.022 Mg
5.491 -2.941 -3.090 Mg
3.209 -6.019 0.673 Mg
6.184 -5.051 -0.741 Mg
6.566 -8.003 2.606 Ni
2.827 -3.067 -2.675 Ni
7.648 -7.110 -1.479 Ni
1.745 -3.960 1.411 Ni

# 4
SmThZn PBE optimized geometry; E_tot = -4.5977 eV/atom; distance to the lowest polymorph of the same formula = 0 meV/atom; energy of formation = -0.1267 eV per atom; D(E_F) = 3.011 states/eV/f.u.; space-group type = Cmcm, No. 63
1.0
3.622 0.000 0.000
0.000 5.392 0.000
-1.811 0.000 8.510
Zn Sm Th
2 2 2
Cartesian
0.000 1.348 7.341 Zn
1.811 4.044 1.169 Zn
1.811 4.044 7.186 Sm
0.000 1.348 1.324 Sm
1.811 1.348 4.710 Th
0.000 4.044 3.800 Th

# 5
Sm2Dy3Ho7 PBE optimized geometry; E_tot = -4.5280 eV/atom; distance to the lowest polymorph of the same formula = 0 meV/atom; energy of formation = 0.0794 eV per atom; D(E_F) = 17.363 states/eV/f.u.; space-group type = P2/m, No. 10
1.0
-1.384 -1.307 2.942
-3.862 -3.622 -3.426
9.108 -15.140 -2.439
Sm Dy Ho
2 3 7
Cartesian
-0.087 -7.821 -1.428 Sm
3.949 -12.248 -1.495 Sm
-2.623 -2.465 -0.242 Dy
2.694 -5.574 -1.208 Dy
2.552 -13.188 -4.656 Dy
2.933 -9.122 -0.585 Ho
0.929 -10.947 -2.338 Ho
-0.676 -4.516 -2.324 Ho
0.000 0.000 0.000 Ho
5.923 -14.246 -3.541 Ho
3.269 -16.677 -3.781 Ho
0.593 -3.392 0.859 Ho

# 6
HgBi3Au PBE optimized geometry; E_tot = -3.0070 eV/atom; distance to the lowest polymorph of the same formula = 0 meV/atom; energy of formation = 0.0374 eV per atom; D(E_F) = 1.836 states/eV/f.u.; space-group type = P-1, No. 2
1.0
-3.010 6.770 -2.248
-6.583 5.182 0.260
1.384 5.945 6.527
Hg Bi Au
2 6 2
Cartesian
-3.174 11.746 5.316 Hg
-8.041 10.519 -1.168 Hg
-1.628 3.223 1.146 Bi
0.005 7.091 4.987 Bi
-3.189 10.006 2.710 Bi
-5.117 7.820 1.147 Bi
-8.028 12.260 1.436 Bi
-6.100 14.445 2.999 Bi
-2.181 5.323 3.372 Au
-6.025 10.173 3.021 Au

# 7
Nb2SbW2 PBE optimized geometry; E_tot = -9.4838 eV/atom; distance to the lowest polymorph of the same formula = 0 meV/atom; D(E_F) = 4.853 states/eV/f.u.; space-group type = P4/mbm, No. 127
1.0
7.693 0.000 0.000
0.000 7.693 0.000
0.000 0.000 3.247
Sb Nb W
2 4 4
Cartesian
0.000 0.000 0.000 Sb
3.846 3.846 0.000 Sb
1.437 5.284 1.623 Nb
5.284 6.255 1.623 Nb
6.255 2.409 1.623 Nb
2.409 1.437 1.623 Nb
2.999 6.845 0.000 W
6.845 4.694 0.000 W
4.694 0.847 0.000 W
0.847 2.999 0.000 W

# 8
Zn2IrOs PBE optimized geometry; E_tot = -4.9980 eV/atom; distance to the lowest polymorph of the same formula = 649 meV/atom; energy of formation = 0.6617 eV per atom; D(E_F) = 4.126 states/eV/f.u.; space-group type = I-42d, No. 122
1.0
-0.001 -2.661 6.495
-3.964 -5.359 -2.197
0.113 -5.338 1.606
Zn Ir Os
4 2 2
Cartesian
-0.468 -3.675 4.204 Zn
-2.450 -5.009 -0.177 Zn
-1.392 -6.996 2.822 Zn
-3.396 -11.036 4.959 Zn
0.000 0.000 0.000 Ir
-0.936 -6.005 5.125 Ir
-1.983 -4.010 2.149 Os
-2.917 -7.354 0.779 Os